Record 1
Dy4Ho2Bi2Os: relaxed, PBE.

```
data_Dy4Ho2Bi2Os
_cell_length_a 4.240
_cell_length_b 14.349
_cell_length_c 8.289
_cell_angle_alpha 90.00
_cell_angle_beta 90.00
_cell_angle_gamma 90.00
_symmetry_space_group_name_H-M 'A m m 2'
_symmetry_Int_Tables_number 38
loop_
_symmetry_equiv_pos_as_xyz
'x,y,z'
'-x,-y,z'
'-x,y,z'
'x,-y,z'
'x,y+1/2,z+1/2'
'-x,-y+1/2,z+1/2'
'-x,y+1/2,z+1/2'
'x,-y+1/2,z+1/2'
loop_
_atom_site_label
_atom_site_type_symbol
_atom_site_fract_x
_atom_site_fract_y
_atom_site_fract_z
Dy1 Dy 0.000 0.000 0.000
Dy2 Dy 0.000 0.194 0.419
Dy3 Dy 0.500 0.000 0.379
Ho1 Ho 0.500 0.117 0.729
Bi1 Bi 0.500 0.167 0.113
Os1 Os 0.000 0.000 0.612
```

Calculated values
V	28.0	Å³ per atom
crystal system	orthorhombic
electronic total energy	-103.660	eV per cell

***

Record 2
Cu2Ge2AsP3: relaxed, PBE.

```
data_Cu2Ge2AsP3
_cell_length_a 11.939
_cell_length_b 5.418
_cell_length_c 5.461
_cell_angle_alpha 90.00
_cell_angle_beta 116.52
_cell_angle_gamma 90.00
_symmetry_space_group_name_H-M 'C 1 2 1'
_symmetry_Int_Tables_number 5
loop_
_symmetry_equiv_pos_as_xyz
'x,y,z'
'-x,y,-z'
'x+1/2,y+1/2,z'
'-x+1/2,y+1/2,-z'
loop_
_atom_site_label
_atom_site_type_symbol
_atom_site_fract_x
_atom_site_fract_y
_atom_site_fract_z
Cu1 Cu 0.131 0.000 0.370
Ge1 Ge 0.127 0.481 0.884
As1 As 0.000 0.758 0.500
P1 P 0.000 0.220 0.000
P2 P 0.250 0.235 0.738
```

Calculated values
V	19.8	Å³ per atom
crystal system	monoclinic
electronic total energy	-75.535	eV per cell

***

Record 3
BaLuTe: relaxed, PBE.

```
data_BaLuTe
_cell_length_a 7.784
_cell_length_b 7.784
_cell_length_c 7.784
_cell_angle_alpha 90.00
_cell_angle_beta 90.00
_cell_angle_gamma 90.00
_symmetry_space_group_name_H-M 'F -4 3 m'
_symmetry_Int_Tables_number 216
_symmetry_space_group_name_Hall 'F -4 2 3'
loop_
_atom_site_label
_atom_site_type_symbol
_atom_site_fract_x
_atom_site_fract_y
_atom_site_fract_z
Ba1 Ba 0.000 0.000 0.000
Lu1 Lu 0.000 0.000 0.500
Te1 Te 0.250 0.250 0.250
```

Calculated values
E above lowest polymorph	0.000	eV/atom
V	39.3	Å³ per atom
crystal system	cubic
electronic total energy	-42.402	eV per cell